Entry 1:
# GdIn6 (PBE-GGA, optimized geometry)
# E_form, kJ/mol of formula units: 264
data_GdIn6
_chemical_formula_sum 'Gd2 In12'
_symmetry_space_group_name_H-M 'I m -3 m'
_symmetry_Int_Tables_number 229
_symmetry_space_group_name_Hall '-I 4 2 3'
_cell_length_a 7.958
_cell_length_b 7.958
_cell_length_c 7.958
_cell_angle_alpha 90.00
_cell_angle_beta 90.00
_cell_angle_gamma 90.00
loop_
_atom_site_label
_atom_site_fract_x
_atom_site_fract_y
_atom_site_fract_z
_atom_site_occupancy
Gd1 0.000 0.000 0.000 1
In1 0.000 0.250 0.500 1


Entry 2:
# ReTeMoN2 (PBE-GGA, optimized geometry)
# Formation energy without anion corrections, eV/atom: 1.26
data_ReTeMoN2
_chemical_formula_sum 'Re1 Te1 Mo1 N2'
_symmetry_space_group_name_H-M 'P 4/m m m'
_symmetry_Int_Tables_number 123
_symmetry_space_group_name_Hall '-P 4 2'
_cell_length_a 3.927
_cell_length_b 3.927
_cell_length_c 5.772
_cell_angle_alpha 90.00
_cell_angle_beta 90.00
_cell_angle_gamma 90.00
loop_
_atom_site_label
_atom_site_fract_x
_atom_site_fract_y
_atom_site_fract_z
_atom_site_occupancy
Re1 0.000 0.000 0.000 1
Te1 0.500 0.500 0.000 1
Mo1 0.500 0.500 0.500 1
N1 0.000 0.500 0.500 1


Entry 3:
# Cs2HgBi3 (PBE-GGA, optimized geometry)
# E_form, kJ/mol of formula units: -140
data_Cs2HgBi3
_chemical_formula_sum 'Cs2 Hg1 Bi3'
_symmetry_space_group_name_H-M 'P m m 2'
_symmetry_Int_Tables_number 25
_symmetry_space_group_name_Hall 'P 2 -2'
_cell_length_a 5.276
_cell_length_b 5.893
_cell_length_c 9.235
_cell_angle_alpha 90.00
_cell_angle_beta 90.00
_cell_angle_gamma 90.00
loop_
_atom_site_label
_atom_site_fract_x
_atom_site_fract_y
_atom_site_fract_z
_atom_site_occupancy
Cs1 0.000 0.000 0.000 1
Cs2 0.500 0.000 0.500 1
Hg1 0.000 0.500 0.672 1
Bi1 0.000 0.500 0.343 1
Bi2 0.500 0.500 0.164 1
Bi3 0.500 0.500 0.821 1


Entry 4:
# RbInPb3 (PBE-GGA, optimized geometry)
# E_form, kJ/mol of formula units: 485
data_RbInPb3
_chemical_formula_sum 'Rb1 In1 Pb3'
_symmetry_space_group_name_H-M 'P m -3 m'
_symmetry_Int_Tables_number 221
_symmetry_space_group_name_Hall '-P 4 2 3'
_cell_length_a 6.202
_cell_length_b 6.202
_cell_length_c 6.202
_cell_angle_alpha 90.00
_cell_angle_beta 90.00
_cell_angle_gamma 90.00
loop_
_atom_site_label
_atom_site_fract_x
_atom_site_fract_y
_atom_site_fract_z
_atom_site_occupancy
Rb1 0.000 0.000 0.000 1
In1 0.500 0.500 0.500 1
Pb1 0.000 0.000 0.500 1


Entry 5:
# FeCo2Cu2 (PBE-GGA, optimized geometry)
# E_form, kJ/mol of formula units: 166
data_FeCo2Cu2
_chemical_formula_sum 'Fe2 Co4 Cu4'
_symmetry_space_group_name_H-M 'P 4/m b m'
_symmetry_Int_Tables_number 127
_symmetry_space_group_name_Hall '-P 4 2ab'
_cell_length_a 6.839
_cell_length_b 6.839
_cell_length_c 2.595
_cell_angle_alpha 90.00
_cell_angle_beta 90.00
_cell_angle_gamma 90.00
loop_
_atom_site_label
_atom_site_fract_x
_atom_site_fract_y
_atom_site_fract_z
_atom_site_occupancy
Fe1 0.000 0.000 0.000 1
Co1 0.120 0.380 0.000 1
Cu1 0.177 0.677 0.500 1


Entry 6:
# ZrCrBr2 (PBE-GGA, optimized geometry)
# Formation energy without anion corrections, eV/atom: -0.30
data_ZrCrBr2
_chemical_formula_sum 'Zr1 Cr1 Br2'
_symmetry_space_group_name_H-M 'P 1 m 1'
_symmetry_Int_Tables_number 6
_symmetry_space_group_name_Hall 'P -2y'
_cell_length_a 3.796
_cell_length_b 3.840
_cell_length_c 7.582
_cell_angle_alpha 90.00
_cell_angle_beta 96.83
_cell_angle_gamma 90.00
loop_
_atom_site_label
_atom_site_fract_x
_atom_site_fract_y
_atom_site_fract_z
_atom_site_occupancy
Zr1 0.000 0.000 0.000 1
Cr1 0.503 0.500 0.947 1
Br1 0.426 0.000 0.713 1
Br2 0.832 0.500 0.254 1


Entry 7:
# Tl2CdRe (PBE-GGA, optimized geometry)
# E_form, kJ/mol of formula units: 418
data_Tl2CdRe
_chemical_formula_sum 'Tl8 Cd4 Re4'
_symmetry_space_group_name_H-M 'I -4 2 d'
_symmetry_Int_Tables_number 122
_symmetry_space_group_name_Hall 'I -4 2bw'
_cell_length_a 4.364
_cell_length_b 4.364
_cell_length_c 19.921
_cell_angle_alpha 90.00
_cell_angle_beta 90.00
_cell_angle_gamma 90.00
loop_
_atom_site_label
_atom_site_fract_x
_atom_site_fract_y
_atom_site_fract_z
_atom_site_occupancy
Tl1 0.227 0.250 0.125 1
Cd1 0.000 0.000 0.500 1
Re1 0.000 0.000 0.000 1


Entry 8:
# NaZnInF4 (PBE-GGA, optimized geometry)
# Formation energy without anion corrections, eV/atom: -2.26
data_NaZnInF4
_chemical_formula_sum 'Na2 Zn2 In2 F8'
_symmetry_space_group_name_H-M 'P 1 21/m 1'
_symmetry_Int_Tables_number 11
_symmetry_space_group_name_Hall '-P 2yb'
_cell_length_a 5.261
_cell_length_b 5.518
_cell_length_c 7.759
_cell_angle_alpha 90.00
_cell_angle_beta 95.07
_cell_angle_gamma 90.00
loop_
_atom_site_label
_atom_site_fract_x
_atom_site_fract_y
_atom_site_fract_z
_atom_site_occupancy
Na1 0.227 0.250 0.474 1
Zn1 0.276 0.750 0.856 1
In1 0.184 0.750 0.174 1
F1 0.092 0.006 0.712 1
F2 0.364 0.750 0.420 1
F3 0.374 0.250 0.198 1


Entry 9:
# Pu2NpPt (PBE-GGA, optimized geometry)
# E_form, kJ/mol of formula units: 122
data_Pu2NpPt
_chemical_formula_sum 'Pu6 Np3 Pt3'
_symmetry_space_group_name_H-M 'R -3 m'
_symmetry_Int_Tables_number 166
_symmetry_space_group_name_Hall '-R 3 2"'
_cell_length_a 2.7906
_cell_length_b 2.7906
_cell_length_c 30.3054
_cell_angle_alpha 90.00
_cell_angle_beta 90.00
_cell_angle_gamma 120.00
loop_
_atom_site_label
_atom_site_fract_x
_atom_site_fract_y
_atom_site_fract_z
_atom_site_occupancy
Pu1 0.0000 0.0000 0.0807 1
Np1 0.0000 0.0000 0.0000 1
Pt1 0.0000 0.0000 0.5000 1


Entry 10:
# SrHfNbInO6 (PBE-GGA, optimized geometry)
# Formation energy without anion corrections, eV/atom: -2.65
data_SrHfNbInO6
_chemical_formula_sum 'Sr4 Hf4 Nb4 In4 O24'
_symmetry_space_group_name_H-M 'F -4 3 m'
_symmetry_Int_Tables_number 216
_symmetry_space_group_name_Hall 'F -4 2 3'
_cell_length_a 8.240
_cell_length_b 8.240
_cell_length_c 8.240
_cell_angle_alpha 90.00
_cell_angle_beta 90.00
_cell_angle_gamma 90.00
loop_
_atom_site_label
_atom_site_fract_x
_atom_site_fract_y
_atom_site_fract_z
_atom_site_occupancy
Sr1 0.000 0.000 0.000 1
Hf1 0.250 0.250 0.750 1
Nb1 0.250 0.250 0.250 1
In1 0.000 0.000 0.500 1
O1 0.004 0.250 0.250 1


Entry 11:
# DyMgCo2 (PBE-GGA, optimized geometry)
# E_form, kJ/mol of formula units: 12
data_DyMgCo2
_chemical_formula_sum 'Dy4 Mg4 Co8'
_symmetry_space_group_name_H-M 'F m -3 m'
_symmetry_Int_Tables_number 225
_symmetry_space_group_name_Hall '-F 4 2 3'
_cell_length_a 6.362
_cell_length_b 6.362
_cell_length_c 6.362
_cell_angle_alpha 90.00
_cell_angle_beta 90.00
_cell_angle_gamma 90.00
loop_
_atom_site_label
_atom_site_fract_x
_atom_site_fract_y
_atom_site_fract_z
_atom_site_occupancy
Dy1 0.000 0.000 0.000 1
Mg1 0.000 0.000 0.500 1
Co1 0.250 0.250 0.250 1


Entry 12:
# Cs3CdCo (PBE-GGA, optimized geometry)
# E_form, kJ/mol of formula units: 360
data_Cs3CdCo
_chemical_formula_sum 'Cs3 Cd1 Co1'
_symmetry_space_group_name_H-M 'P m -3 m'
_symmetry_Int_Tables_number 221
_symmetry_space_group_name_Hall '-P 4 2 3'
_cell_length_a 6.371
_cell_length_b 6.371
_cell_length_c 6.371
_cell_angle_alpha 90.00
_cell_angle_beta 90.00
_cell_angle_gamma 90.00
loop_
_atom_site_label
_atom_site_fract_x
_atom_site_fract_y
_atom_site_fract_z
_atom_site_occupancy
Cs1 0.000 0.000 0.500 1
Cd1 0.500 0.500 0.500 1
Co1 0.000 0.000 0.000 1


Total magnetic moment, respectively: 14.3, 3.6, 0.0, 0.0, 12.3, 2.2, 4.5, 0.0, 0.0, 0.0, 0.0, 0.0 μB per cell.